Entry from Alexandria via LeMat-Bulk: a crystal of Cr2Te relaxed with PBEsol (SCAN).

As for the spin magnetization: 0.000 μB/cell. The calculation puts the formation energy from raw total energies at 0.483 eV/atom.

The structure belongs to space group C2/m (No. 12); the cell edges are 8.791, 3.133 and 6.785 Å and the angles 90.00°, 110.86° and 90.00°. The distinct sites, in fractional coordinates, are Cr at (0.171, 0.000, 0.039), Cr at (0.177, 0.000, 0.635) and Te at (0.021, 0.500, 0.272).